# ReRuPt2

A geometry-optimized ReRuPt2 structure (GGA-PBE, Alexandria via LeMat-Bulk).

Values from the calculation:
symmetry	No. 8
M_tot	0.00	μB per atom
ΔE_f	-42.8	meV per atom

a = 4.8044 Å, b = 4.8044 Å, c = 4.8096 Å
α = 80.79°, β = 80.79°, γ = 33.05°
Closest atoms and distances in Å follow each position.
Fractional positions:
Re: 0.5029 0.5029 0.4913  3 Ru 2.70-2.77, 7 Pt 2.73-2.81, 2 Re 2.73
Pt: 0.9970 0.9970 0.0028  4 Re 2.73-2.81, 5 Pt 2.73-2.83, 3 Ru 2.79
Pt: 0.7536 0.7536 0.7449  4 Ru 2.71-2.83, 5 Pt 2.73-2.83, 3 Re 2.77-2.79
Ru: 0.2464 0.2464 0.2611  3 Re 2.70-2.77, 7 Pt 2.71-2.83, 2 Ru 2.73